Record 1
VASP calculation (PBE-GGA) on a relaxed structure of CsSnHg.

Cell lengths 5.0284, 5.9727, 8.6841 Å; angles 90.00, 90.00, 90.00 degrees
Fractional positions:
Cs: 0.0000 0.0000 0.0000
Cs: 0.5000 0.0000 0.5000
Sn: 0.0000 0.5000 0.3381
Sn: 0.0000 0.5000 0.6619
Hg: 0.5000 0.5000 0.1703
Hg: 0.5000 0.5000 0.8297

***

Record 2
VASP calculation (PBE-GGA) on a relaxed structure of TmZn2Co2.

Cell lengths 11.4953, 11.4953, 11.4953 Å; angles 161.26, 161.26, 26.62 degrees
Fractional positions:
Tm: 0.1197 0.1197 0.0000
Tm: 0.8803 0.8803 0.0000
Zn: 0.0000 0.5000 0.5000
Zn: 0.3218 0.3218 0.0000
Zn: 0.5000 0.0000 0.5000
Zn: 0.6782 0.6782 0.0000
Co: 0.2500 0.7500 0.5000
Co: 0.4297 0.4297 0.0000
Co: 0.5703 0.5703 0.0000
Co: 0.7500 0.2500 0.5000

***

no.,energy of formation (eV per formula unit),uncorrected energy (Ha/atom)
1,-0.550,-0.06993
2,-0.685,-0.16108